Record 1
Density functional theory data (PBE-GGA) for crystalline RePBr at its relaxed geometry.

abc: 3.6335 3.6335 6.3553
angles: 90.00 90.00 120.00
Site moments in Bohr magnetons follow the coordinates.
Fractional coordinates of all 3 atoms:
Br: 0.0000 0.0000 0.9117  0.03
P: 0.3333 0.6667 0.4720  -0.07
Re: 0.6667 0.3333 0.6163  0.97

Output
The calculation puts the uncorrected formation energy at 0.64 eV/f.u. The value obtained for the spin magnetization is 1.0 μB/cell. The value obtained for the offset from the most stable computed form is 0.00 kcal/mol of atoms.


Record 2
Density functional theory data (PBE-GGA) for crystalline LiP3Au at its relaxed geometry.

abc: 4.3694 4.3694 4.3694
angles: 90.00 90.00 90.00
Fractional coordinates of all 5 atoms:
P: 0.0000 0.5000 0.0000
P: 0.0000 0.0000 0.5000
P: 0.5000 0.0000 0.0000
Au: 0.5000 0.5000 0.5000
Li: 0.0000 0.0000 0.0000

Output
The value obtained for the formation energy is 4.4 eV/f.u. The value obtained for the spin magnetization is 0.0 μB/cell. The value obtained for the offset from the most stable computed form is 0.00 kcal/mol of atoms.


Record 3
Density functional theory data (PBE-GGA) for crystalline SrCo2Sb at its relaxed geometry.

abc: 4.0260 4.8413 5.0435
angles: 75.32 90.00 90.00
Site moments in Bohr magnetons follow the coordinates.
Fractional coordinates of all 4 atoms:
Co: 0.0000 0.9937 0.2101  1.22
Co: 0.5000 0.2160 0.1917  1.32
Sb: 0.0000 0.4696 0.3406  0.02
Sr: 0.5000 0.8207 0.7576  -0.05

Output
The calculation puts the uncorrected formation energy at 0.15 eV/f.u. The value obtained for the spin magnetization is 2.4 μB/cell.


Record 4
Density functional theory data (PBE-GGA) for crystalline Sr3LiAc2S6 at its relaxed geometry.

abc: 7.3629 7.3629 7.3896
angles: 99.53 99.53 120.01
Fractional coordinates of all 12 atoms:
Sr: 0.1646 0.8354 0.5000
Sr: 0.8354 0.1646 0.5000
Sr: 0.5000 0.5000 0.5000
Li: 0.0000 0.0000 0.0000
Ac: 0.3330 0.6670 0.0000
Ac: 0.6670 0.3330 0.0000
S: 0.9175 0.5869 0.7529
S: 0.7518 0.7518 0.2449
S: 0.0825 0.4131 0.2471
S: 0.5869 0.9175 0.7529
S: 0.2482 0.2482 0.7551
S: 0.4131 0.0825 0.2471

Output
The calculation puts the uncorrected formation energy at -23.76 eV/f.u. The value obtained for the spin magnetization is 0.0 μB/cell.